# PBE TaSn2Bi2, relaxed
data_TaSn2Bi2
_chemical_formula_sum 'Ta2 Sn4 Bi4'
_cell_length_a 3.9245
_cell_length_b 3.9245
_cell_length_c 19.0484
_cell_angle_alpha 90.00
_cell_angle_beta 90.00
_cell_angle_gamma 90.00
_symmetry_space_group_name_H-M 'I 4/m m m'
_symmetry_Int_Tables_number 139
_symmetry_space_group_name_Hall '-I 4 2'
loop_
_atom_site_label
_atom_site_fract_x
_atom_site_fract_y
_atom_site_fract_z
Ta1 0.0000 0.0000 0.0000
Sn1 0.0000 0.5000 0.2500
Bi1 0.0000 0.0000 0.4171
# - V: 293.4 Å³/cell
# - Density of states at the Fermi level: 8.7 states/eV per cell
# - ΔE_f: 0.594 eV per atom

# PBE TaSnBi3, relaxed
data_TaSnBi3
_chemical_formula_sum 'Ta1 Sn1 Bi3'
_cell_length_a 5.5305
_cell_length_b 5.5305
_cell_length_c 5.5305
_cell_angle_alpha 90.00
_cell_angle_beta 90.00
_cell_angle_gamma 90.00
_symmetry_space_group_name_H-M 'P m -3 m'
_symmetry_Int_Tables_number 221
_symmetry_space_group_name_Hall '-P 4 2 3'
loop_
_atom_site_label
_atom_site_fract_x
_atom_site_fract_y
_atom_site_fract_z
Ta1 0.0000 0.0000 0.0000
Sn1 0.5000 0.5000 0.5000
Bi1 0.0000 0.0000 0.5000
# - V: 169.2 Å³/cell
# - Density of states at the Fermi level: 4.0 states/eV per cell
# - ΔE_f: 0.596 eV per atom

# PBE TaTc2SnBi, relaxed
data_TaTc2SnBi
_chemical_formula_sum 'Ta1 Tc2 Sn1 Bi1'
_cell_length_a 4.8767
_cell_length_b 4.8767
_cell_length_c 5.4645
_cell_angle_alpha 90.00
_cell_angle_beta 90.00
_cell_angle_gamma 90.00
_symmetry_space_group_name_H-M 'P 4/m m m'
_symmetry_Int_Tables_number 123
_symmetry_space_group_name_Hall '-P 4 2'
loop_
_atom_site_label
_atom_site_fract_x
_atom_site_fract_y
_atom_site_fract_z
Ta1 0.0000 0.0000 0.0000
Tc1 0.0000 0.5000 0.0000
Sn1 0.5000 0.5000 0.5000
Bi1 0.0000 0.0000 0.5000
# - V: 130.0 Å³/cell
# - Density of states at the Fermi level: 4.8 states/eV per cell
# - ΔE_f: 1.394 eV per atom

# PBE TaSn2BiW, relaxed
data_TaSn2BiW
_chemical_formula_sum 'Ta1 Sn2 Bi1 W1'
_cell_length_a 5.3581
_cell_length_b 5.3581
_cell_length_c 4.9472
_cell_angle_alpha 90.00
_cell_angle_beta 90.00
_cell_angle_gamma 90.00
_symmetry_space_group_name_H-M 'P 4/m m m'
_symmetry_Int_Tables_number 123
_symmetry_space_group_name_Hall '-P 4 2'
loop_
_atom_site_label
_atom_site_fract_x
_atom_site_fract_y
_atom_site_fract_z
Ta1 0.0000 0.0000 0.0000
Sn1 0.0000 0.5000 0.0000
Bi1 0.5000 0.5000 0.5000
W1 0.0000 0.0000 0.5000
# - V: 142.0 Å³/cell
# - Density of states at the Fermi level: 3.7 states/eV per cell
# - ΔE_f: 1.158 eV per atom

# PBE Tb2SnBi3, relaxed
data_Tb2SnBi3
_chemical_formula_sum 'Tb4 Sn2 Bi6'
_cell_length_a 4.4067
_cell_length_b 6.4379
_cell_length_c 13.9293
_cell_angle_alpha 90.00
_cell_angle_beta 90.00
_cell_angle_gamma 90.00
_symmetry_space_group_name_H-M 'I m m m'
_symmetry_Int_Tables_number 71
_symmetry_space_group_name_Hall '-I 2 2'
loop_
_atom_site_label
_atom_site_fract_x
_atom_site_fract_y
_atom_site_fract_z
Tb1 0.0000 0.0000 0.1644
Sn1 0.0000 0.0000 0.5000
Bi1 0.0000 0.5000 0.1703
Bi2 0.0000 0.5000 0.5000
# - V: 395.2 Å³/cell
# - Density of states at the Fermi level: 9.3 states/eV per cell
# - ΔE_f: -0.447 eV per atom

# PBE Tb5SnBi5, relaxed
data_Tb5SnBi5
_chemical_formula_sum 'Tb10 Sn2 Bi10'
_cell_length_a 14.1283
_cell_length_b 6.2518
_cell_length_c 8.8315
_cell_angle_alpha 90.00
_cell_angle_beta 108.61
_cell_angle_gamma 90.00
_symmetry_space_group_name_H-M 'C 1 2/m 1'
_symmetry_Int_Tables_number 12
loop_
_symmetry_equiv_pos_as_xyz
'x,y,z'
'-x,-y,-z'
'-x,y,-z'
'x,-y,z'
'x+1/2,y+1/2,z'
'-x+1/2,-y+1/2,-z'
'-x+1/2,y+1/2,-z'
'x+1/2,-y+1/2,z'
loop_
_atom_site_label
_atom_site_fract_x
_atom_site_fract_y
_atom_site_fract_z
Tb1 0.0000 0.0000 0.0000
Tb2 0.1675 0.5000 0.3309
Tb3 0.1709 0.5000 0.8389
Sn1 0.0000 0.5000 0.0000
Bi1 0.0000 0.5000 0.5000
Bi2 0.1548 0.0000 0.8112
Bi3 0.1608 0.0000 0.3410
# - V: 739.3 Å³/cell
# - Density of states at the Fermi level: 15.1 states/eV per cell
# - ΔE_f: -0.565 eV per atom

# PBE Tb5SnBi2, relaxed
data_Tb5SnBi2
_chemical_formula_sum 'Tb20 Sn4 Bi8'
_cell_length_a 6.0161
_cell_length_b 11.6729
_cell_length_c 14.4134
_cell_angle_alpha 90.00
_cell_angle_beta 90.00
_cell_angle_gamma 90.00
_symmetry_space_group_name_H-M 'C m c m'
_symmetry_Int_Tables_number 63
_symmetry_space_group_name_Hall '-C 2c 2'
loop_
_atom_site_label
_atom_site_fract_x
_atom_site_fract_y
_atom_site_fract_z
Tb1 0.0000 0.0772 0.1017
Tb2 0.0000 0.3780 0.0519
Tb3 0.0000 0.4152 0.7500
Sn1 0.0000 0.2758 0.2500
Bi1 0.0000 0.1972 0.6134
# - V: 1012.2 Å³/cell
# - Density of states at the Fermi level: 32.1 states/eV per cell
# - ΔE_f: -0.336 eV per atom

# PBE Tb8Sn2Bi, relaxed
data_Tb8Sn2Bi
_chemical_formula_sum 'Tb16 Sn4 Bi2'
_cell_length_a 19.8971
_cell_length_b 4.9711
_cell_length_c 7.0442
_cell_angle_alpha 90.00
_cell_angle_beta 102.25
_cell_angle_gamma 90.00
_symmetry_space_group_name_H-M 'C 1 2/m 1'
_symmetry_Int_Tables_number 12
loop_
_symmetry_equiv_pos_as_xyz
'x,y,z'
'-x,-y,-z'
'-x,y,-z'
'x,-y,z'
'x+1/2,y+1/2,z'
'-x+1/2,-y+1/2,-z'
'-x+1/2,y+1/2,-z'
'x+1/2,-y+1/2,z'
loop_
_atom_site_label
_atom_site_fract_x
_atom_site_fract_y
_atom_site_fract_z
Tb1 0.0255 0.0000 0.2569
Tb2 0.0957 0.5000 0.9866
Tb3 0.1613 0.5000 0.5101
Tb4 0.2175 0.0000 0.8366
Sn1 0.1829 0.0000 0.2630
Bi1 0.0000 0.5000 0.5000
# - V: 680.9 Å³/cell
# - Density of states at the Fermi level: 25.4 states/eV per cell
# - ΔE_f: -0.382 eV per atom

# PBE Tb3SnBi2, relaxed
data_Tb3SnBi2
_chemical_formula_sum 'Tb12 Sn4 Bi8'
_cell_length_a 7.7929
_cell_length_b 13.4425
_cell_length_c 7.6480
_cell_angle_alpha 90.00
_cell_angle_beta 109.67
_cell_angle_gamma 90.00
_symmetry_space_group_name_H-M 'C 1 2/c 1'
_symmetry_Int_Tables_number 15
loop_
_symmetry_equiv_pos_as_xyz
'x,y,z'
'-x,-y,-z'
'-x,y,-z+1/2'
'x,-y,z+1/2'
'x+1/2,y+1/2,z'
'-x+1/2,-y+1/2,-z'
'-x+1/2,y+1/2,-z+1/2'
'x+1/2,-y+1/2,z+1/2'
loop_
_atom_site_label
_atom_site_fract_x
_atom_site_fract_y
_atom_site_fract_z
Tb1 0.2451 0.0822 0.4967
Tb2 0.2500 0.2500 0.0000
Sn1 0.0000 0.0854 0.7500
Bi1 0.0000 0.2527 0.2500
Bi2 0.0000 0.4171 0.7500
# - V: 754.4 Å³/cell
# - Density of states at the Fermi level: 11.5 states/eV per cell
# - ΔE_f: -0.758 eV per atom

# PBE Tb8Sn5Bi, relaxed
data_Tb8Sn5Bi
_chemical_formula_sum 'Tb16 Sn10 Bi2'
_cell_length_a 9.3492
_cell_length_b 9.3492
_cell_length_c 9.3413
_cell_angle_alpha 90.00
_cell_angle_beta 90.00
_cell_angle_gamma 90.00
_symmetry_space_group_name_H-M 'I -4'
_symmetry_Int_Tables_number 82
loop_
_symmetry_equiv_pos_as_xyz
'x,y,z'
'y,-x,-z'
'-x,-y,z'
'-y,x,-z'
'x+1/2,y+1/2,z+1/2'
'y+1/2,-x+1/2,-z+1/2'
'-x+1/2,-y+1/2,z+1/2'
'-y+1/2,x+1/2,-z+1/2'
loop_
_atom_site_label
_atom_site_fract_x
_atom_site_fract_y
_atom_site_fract_z
Tb1 0.0720 0.1749 0.3038
Tb2 0.0719 0.3191 0.9417
Sn1 0.0000 0.0000 0.0000
Sn2 0.1263 0.2499 0.6228
Bi1 0.0000 0.5000 0.2500
# - V: 816.5 Å³/cell
# - Density of states at the Fermi level: 16.3 states/eV per cell
# - ΔE_f: -0.745 eV per atom

# PBE Tb7Sn2Bi2, relaxed
data_Tb7Sn2Bi2
_chemical_formula_sum 'Tb14 Sn4 Bi4'
_cell_length_a 8.5687
_cell_length_b 11.0688
_cell_length_c 7.5413
_cell_angle_alpha 90.00
_cell_angle_beta 90.00
_cell_angle_gamma 90.00
_symmetry_space_group_name_H-M 'C m m m'
_symmetry_Int_Tables_number 65
_symmetry_space_group_name_Hall '-C 2 2'
loop_
_atom_site_label
_atom_site_fract_x
_atom_site_fract_y
_atom_site_fract_z
Tb1 0.0000 0.0000 0.0000
Tb2 0.0000 0.5000 0.2722
Tb3 0.2500 0.2500 0.2864
Sn1 0.1784 0.0000 0.5000
Bi1 0.0000 0.2836 0.0000
# - V: 715.3 Å³/cell
# - Density of states at the Fermi level: 31.3 states/eV per cell
# - ΔE_f: -0.268 eV per atom

# PBE Tb6SnBi2Te3, relaxed
data_Tb6SnBi2Te3
_chemical_formula_sum 'Tb12 Sn2 Bi4 Te6'
_cell_length_a 19.3014
_cell_length_b 4.4375
_cell_length_c 8.8452
_cell_angle_alpha 90.00
_cell_angle_beta 102.95
_cell_angle_gamma 90.00
_symmetry_space_group_name_H-M 'C 1 2/m 1'
_symmetry_Int_Tables_number 12
loop_
_symmetry_equiv_pos_as_xyz
'x,y,z'
'-x,-y,-z'
'-x,y,-z'
'x,-y,z'
'x+1/2,y+1/2,z'
'-x+1/2,-y+1/2,-z'
'-x+1/2,y+1/2,-z'
'x+1/2,-y+1/2,z'
loop_
_atom_site_label
_atom_site_fract_x
_atom_site_fract_y
_atom_site_fract_z
Tb1 0.9997 0.0000 0.2386
Tb2 0.1613 0.5000 0.0813
Tb3 0.1665 0.5000 0.5816
Sn1 0.0000 0.5000 0.0000
Bi1 0.1669 0.0000 0.3337
Te1 0.0000 0.5000 0.5000
Te2 0.1688 0.0000 0.8336
# - ΔE_f (raw): -1.11 eV per atom
# - V: 738.3 Å³/cell
# - Density of states at the Fermi level: 8.2 states/eV per cell